Below is a crystal of Sr2MnCu2S2O2 relaxed with PBEsol, with properties calculated at the meta-GGA SCAN level.

## Properties
formation energy from raw total energies: -1.7011 eV per atom
energy: -140.2 eV per formula unit

a b c (Å): 3.9275 3.9275 9.2542
angles (deg): 102.25 102.25 90.00
Last column: nearest neighbours and their distance in Å.
Positions (direct):
Sr 0.4057 0.4057 0.8114  4 O 2.57
Sr 0.5943 0.5943 0.1886  4 O 2.57
Mn 0.0000 0.0000 0.0000  4 O 1.96
Cu 0.2500 0.7500 0.5000  4 S 2.39
Cu 0.7500 0.2500 0.5000  4 S 2.39
S 0.1727 0.1727 0.3454  4 Cu 2.39
S 0.8273 0.8273 0.6546  4 Cu 2.39
O 0.5000 0.0000 0.0000  2 Mn 1.96
O 0.0000 0.5000 0.0000  2 Mn 1.96

Below is a crystal of Cu5Au relaxed with PBEsol, with properties calculated at the meta-GGA SCAN level.

## Properties
energy: -145.1 eV per formula unit
ΔE_f: 0.0 eV/f.u.

a b c (Å): 2.7462 2.7462 9.7806
angles (deg): 90.00 90.00 90.00
Last column: nearest neighbours and their distance in Å.
Positions (direct):
Au 0.5000 0.5000 0.5000  8 Cu 2.69, 4 Au 2.75
Cu 0.0000 0.0000 0.6900  8 Cu 2.47-2.75, 4 Au 2.69
Cu 0.5000 0.5000 0.8459  12 Cu 2.46-2.75
Cu 0.0000 0.0000 0.0000  12 Cu 2.46-2.75
Cu 0.5000 0.5000 0.1541  12 Cu 2.46-2.75
Cu 0.0000 0.0000 0.3100  8 Cu 2.47-2.75, 4 Au 2.69

Below is a crystal of ReHgO3 relaxed with PBEsol, with properties calculated at the meta-GGA SCAN level.

## Properties
formation energy from raw total energies: 1.2577 eV per atom
energy: -151.7 eV per formula unit

a b c (Å): 4.1237 4.1237 4.1237
angles (deg): 90.00 90.00 90.00
Last column: nearest neighbours and their distance in Å.
Positions (direct):
Re 0.5000 0.5000 0.5000  12 O 2.92
Hg 0.0000 0.0000 0.0000  6 O 2.06
O 0.0000 0.5000 0.0000  2 Hg 2.06
O 0.0000 0.0000 0.5000  2 Hg 2.06
O 0.5000 0.0000 0.0000  2 Hg 2.06

Below is a crystal of MgBe2Cd relaxed with PBEsol, with properties calculated at the meta-GGA SCAN level.

## Properties
energy: -42.5 eV per formula unit
ΔE_f: 1.5 eV/f.u.

a b c (Å): 4.3297 4.3297 4.3297
angles (deg): 60.00 60.00 60.00
Last column: nearest neighbours and their distance in Å.
Positions (direct):
Be 0.0000 0.0000 0.0000  4 Mg 2.65, 4 Be 2.65
Be 0.7500 0.7500 0.7500  4 Cd 2.65, 4 Be 2.65
Mg 0.2500 0.2500 0.2500  4 Cd 2.65, 4 Be 2.65
Cd 0.5000 0.5000 0.5000  4 Be 2.65, 4 Mg 2.65

Below is a crystal of Ag3BiF relaxed with PBEsol, with properties calculated at the meta-GGA SCAN level.

## Properties
formation energy from raw total energies: 0.4082 eV per atom
energy: -174.2 eV per formula unit

a b c (Å): 5.2884 5.2884 5.2884
angles (deg): 90.00 90.00 90.00
Last column: nearest neighbours and their distance in Å.
Positions (direct):
Bi 0.0000 0.0000 0.0000  6 Ag 2.64
Ag 0.0000 0.5000 0.0000  2 Bi 2.64
Ag 0.0000 0.0000 0.5000  2 Bi 2.64
Ag 0.5000 0.0000 0.0000  2 Bi 2.64
F 0.5000 0.5000 0.5000  12 Ag 3.74

Below is a crystal of Zn2Sn2Pb relaxed with PBEsol, with properties calculated at the meta-GGA SCAN level.

## Properties
energy: -173.7 eV per formula unit
ΔE_f: 0.9 eV/f.u.

a b c (Å): 3.3874 8.1145 8.1145
angles (deg): 90.00 90.00 90.00
Last column: nearest neighbours and their distance in Å.
Positions (direct):
Pb 0.0000 0.0000 0.0000  4 Zn 3.26, 2 Pb 3.39, 8 Sn 3.43
Pb 0.0000 0.5000 0.5000  4 Zn 3.26, 2 Pb 3.39, 8 Sn 3.43
Zn 0.0000 0.3843 0.8843  1 Zn 2.66, 2 Sn 2.90
Zn 0.0000 0.8843 0.6157  1 Zn 2.66, 2 Sn 2.90
Zn 0.0000 0.6157 0.1157  1 Zn 2.66, 2 Sn 2.90
Zn 0.0000 0.1157 0.3843  1 Zn 2.66, 2 Sn 2.90
Sn 0.5000 0.1795 0.6795  6 Zn 2.90-2.98
Sn 0.5000 0.6795 0.8205  6 Zn 2.90-2.98
Sn 0.5000 0.8205 0.3205  6 Zn 2.90-2.98
Sn 0.5000 0.3205 0.1795  6 Zn 2.90-2.98

Below is a crystal of BaLaZr2 relaxed with PBEsol, with properties calculated at the meta-GGA SCAN level.

## Properties
energy: -141.7 eV per formula unit
ΔE_f: 2.4 eV/f.u.

a b c (Å): 4.7130 4.7130 5.1163
angles (deg): 90.00 90.00 90.00
Last column: nearest neighbours and their distance in Å.
Positions (direct):
Ba 0.5000 0.5000 0.5000  4 La 3.33, 8 Zr 3.48
La 0.0000 0.0000 0.5000  4 Ba 3.33, 8 Zr 3.48
Zr 0.0000 0.5000 0.0000  4 Zr 3.33, 4 Ba 3.48, 4 La 3.48
Zr 0.5000 0.0000 0.0000  4 Zr 3.33, 4 La 3.48, 4 Ba 3.48

Below is a crystal of SrSb2C relaxed with PBEsol, with properties calculated at the meta-GGA SCAN level.

## Properties
formation energy from raw total energies: 0.3010 eV per atom
energy: -105.7 eV per formula unit

a b c (Å): 6.4034 6.4034 6.4034
angles (deg): 104.49 112.02 112.02
Last column: nearest neighbours and their distance in Å.
Positions (direct):
Sb 0.8830 0.5080 0.1250  2 C 2.25
Sb 0.1170 0.2420 0.6250  2 C 2.25
Sb 0.3830 0.8750 0.7580  2 C 2.25
Sb 0.6170 0.3750 0.4920  2 C 2.25
C 0.5000 0.2500 0.7500  4 Sb 2.25
C 0.0000 0.5000 0.5000  4 Sb 2.25
Sr 0.5000 0.7500 0.2500  8 Sb 3.33-3.57
Sr 0.0000 0.0000 0.0000  8 Sb 3.33-3.57

Below is a crystal of MnCo2H relaxed with PBEsol, with properties calculated at the meta-GGA SCAN level.

## Properties
energy: -55.2 eV per formula unit

a b c (Å): 4.4658 4.5118 4.5118
angles (deg): 75.82 60.34 60.34
Last column: nearest neighbours and their distance in Å.
Positions (direct):
H 0.2500 0.5000 0.5000  4 Co 1.72
H 0.5000 0.0000 0.0000  4 Co 1.72
Mn 0.7500 0.5000 0.5000  2 H 2.23, 8 Co 2.33-2.43
Mn 0.0000 0.0000 0.0000  2 H 2.23, 8 Co 2.33-2.43
Co 0.2216 0.9034 0.4034  2 H 1.72
Co 0.5284 0.0966 0.5966  2 H 1.72
Co 0.3750 0.4034 0.0966  2 H 1.72
Co 0.8750 0.5966 0.9034  2 H 1.72

Below is a crystal of BaAlHg2 relaxed with PBEsol, with properties calculated at the meta-GGA SCAN level.

## Properties
energy: -185.6 eV per formula unit
ΔE_f: -1.9 eV/f.u.

a b c (Å): 4.6313 4.6313 6.5918
angles (deg): 69.43 69.43 60.00
Last column: nearest neighbours and their distance in Å.
Positions (direct):
Al 0.5000 0.5000 0.5000  6 Hg 2.81
Hg 0.2137 0.2137 0.3589  3 Al 2.81
Hg 0.7863 0.7863 0.6411  3 Al 2.81
Ba 0.0000 0.0000 0.0000  6 Hg 3.44

Below is a crystal of MoP4H36C12Cl2 relaxed with PBEsol, with properties calculated at the meta-GGA SCAN level.

## Properties
energy: -352.8 eV per formula unit

a b c (Å): 9.1360 9.1360 9.1360
angles (deg): 95.96 116.62 116.62
Last column: nearest neighbours and their distance in Å.
Positions (direct):
Mo 0.0000 0.0000 0.0000  2 Cl 2.43, 4 P 2.46
P 0.6426 0.7883 0.7883  3 C 1.83
P 0.3574 0.1458 0.1458  3 C 1.83
P 0.0000 0.8542 0.2117  3 C 1.83
P 0.0000 0.2117 0.8542  3 C 1.83
H 0.3895 0.4680 0.6468  1 C 1.10
H 0.6105 0.2573 0.0785  1 C 1.10
H 0.8212 0.7427 0.3532  1 C 1.10
H 0.1788 0.5320 0.9215  1 C 1.10
H 0.1788 0.9215 0.5320  1 C 1.10
H 0.8212 0.3532 0.7427  1 C 1.10
H 0.3895 0.6468 0.4680  1 C 1.10
H 0.6105 0.0785 0.2573  1 C 1.10
H 0.6345 0.5208 0.7307  1 C 1.10
H 0.3655 0.0963 0.8863  1 C 1.10
H 0.7900 0.9037 0.2693  1 C 1.10
H 0.2100 0.4792 0.1137  1 C 1.10
H 0.2100 0.1137 0.4792  1 C 1.10
H 0.7900 0.2693 0.9037  1 C 1.10
H 0.6345 0.7307 0.5208  1 C 1.10
H 0.3655 0.8863 0.0963  1 C 1.10
H 0.5609 0.5354 0.8797  1 C 1.10
H 0.4391 0.3188 0.9746  1 C 1.10
H 0.6558 0.6812 0.1203  1 C 1.10
H 0.3442 0.4646 0.0254  1 C 1.10
H 0.3442 0.0254 0.4646  1 C 1.10
H 0.6558 0.1203 0.6812  1 C 1.10
H 0.5609 0.8797 0.5354  1 C 1.10
H 0.4391 0.9746 0.3188  1 C 1.10
H 0.5000 0.8186 0.9493  1 C 1.10
H 0.5000 0.4493 0.3185  1 C 1.10
H 0.8692 0.5507 0.0507  1 C 1.10
H 0.1308 0.1814 0.6815  1 C 1.10
H 0.1308 0.6815 0.1814  1 C 1.10
H 0.8692 0.0507 0.5507  1 C 1.10
H 0.5000 0.9493 0.8186  1 C 1.10
H 0.5000 0.3185 0.4493  1 C 1.10
H 0.3173 0.7146 0.7146  1 C 1.10
H 0.6827 0.3973 0.3973  1 C 1.10
H 0.0000 0.6027 0.2854  1 C 1.10
H 0.0000 0.2854 0.6027  1 C 1.10
C 0.5457 0.5553 0.7582  3 H 1.10
C 0.4543 0.2125 0.0096  3 H 1.10
C 0.7971 0.7875 0.2418  3 H 1.10
C 0.2029 0.4447 0.9904  3 H 1.10
C 0.2029 0.9904 0.4447  3 H 1.10
C 0.7971 0.2418 0.7875  3 H 1.10
C 0.5457 0.7582 0.5553  3 H 1.10
C 0.4543 0.0096 0.2125  3 H 1.10
C 0.4724 0.8191 0.8191  3 H 1.10
C 0.5276 0.3467 0.3467  3 H 1.10
C 0.0000 0.6533 0.1809  3 H 1.10
C 0.0000 0.1809 0.6533  3 H 1.10
Cl 0.0000 0.8014 0.8014  1 Mo 2.43
Cl 0.0000 0.1986 0.1986  1 Mo 2.43

> The highest energy belongs to which entry?

MgBe2Cd

> The highest energy belongs to which entry?

MgBe2Cd

> Look up the energy of the tenth one.

-185.6 eV per formula unit

> energy of number 10 (BaAlHg2)?

-185.6 eV per formula unit